[1]
RbSrPuF6 | PBE-GGA | optimized geometry

Output
symmetry = No. 163
calculated total energy = -119.1 eV per cell
formation energy (no corrections) = -3481 meV per atom
total moment = 5.0 μB/f.u.

abc: 6.5879 6.5879 10.5558
angles: 90.00 90.00 120.00
Element x y z (fractional)
Rb1 0.0000 0.0000 0.0000
Rb2 0.0000 0.0000 0.5000
Sr1 0.3333 0.6667 0.2500
Sr2 0.6667 0.3333 0.7500
Pu1 0.3333 0.6667 0.7500
Pu2 0.6667 0.3333 0.2500
F1 0.0158 0.3784 0.6423
F2 0.0158 0.6374 0.8577
F3 0.3626 0.3784 0.8577
F4 0.3626 0.9842 0.6423
F5 0.3784 0.0158 0.1423
F6 0.3784 0.3626 0.3577
F7 0.6216 0.6374 0.6423
F8 0.6216 0.9842 0.8577
F9 0.6374 0.0158 0.3577
F10 0.6374 0.6216 0.1423
F11 0.9842 0.3626 0.1423
F12 0.9842 0.6216 0.3577



[2]
RbPuTl2F6 | PBE-GGA | optimized geometry

Output
symmetry = No. 14
calculated total energy = -116.5 eV per cell
formation energy (no corrections) = -2701 meV per atom
total moment = 5.0 μB/f.u.

abc: 6.6669 7.0827 11.5473
angles: 90.00 124.06 90.00
Element x y z (fractional)
Rb1 0.0000 0.0000 0.0000
Rb2 0.0000 0.5000 0.5000
Pu1 0.5000 0.0000 0.5000
Pu2 0.5000 0.5000 0.0000
Tl1 0.2220 0.0394 0.7319
Tl2 0.2220 0.4606 0.2319
Tl3 0.7780 0.5394 0.7681
Tl4 0.7780 0.9606 0.2681
F1 0.1674 0.1532 0.4708
F2 0.1674 0.3468 0.9708
F3 0.2456 0.7431 0.4149
F4 0.2456 0.7569 0.9149
F5 0.3978 0.0747 0.2799
F6 0.3978 0.4253 0.7799
F7 0.6022 0.5747 0.2201
F8 0.6022 0.9253 0.7201
F9 0.7544 0.2431 0.0851
F10 0.7544 0.2569 0.5851
F11 0.8326 0.6532 0.0292
F12 0.8326 0.8468 0.5292



[3]
Rb2PuTlF6 | PBE-GGA | optimized geometry

Output
symmetry = No. 14
calculated total energy = -117.8 eV per cell
formation energy (no corrections) = -2902 meV per atom
total moment = 5.0 μB/f.u.

abc: 6.7487 6.9797 11.6734
angles: 90.00 124.58 90.00
Element x y z (fractional)
Rb1 0.2283 0.0480 0.2474
Rb2 0.2283 0.4520 0.7474
Rb3 0.7717 0.5480 0.2526
Rb4 0.7717 0.9520 0.7526
Pu1 0.5000 0.0000 0.0000
Pu2 0.5000 0.5000 0.5000
Tl1 0.0000 0.0000 0.5000
Tl2 0.0000 0.5000 0.0000
F1 0.1761 0.1856 0.9443
F2 0.1761 0.3144 0.4443
F3 0.2510 0.7379 0.9281
F4 0.2510 0.7621 0.4281
F5 0.3942 0.0617 0.7781
F6 0.3942 0.4383 0.2781
F7 0.6058 0.5617 0.7219
F8 0.6058 0.9383 0.2219
F9 0.7490 0.2379 0.5719
F10 0.7490 0.2621 0.0719
F11 0.8239 0.6856 0.5557
F12 0.8239 0.8144 0.0557



[4]
RbPuZnF6 | PBE-GGA | optimized geometry

Output
symmetry = No. 74
calculated total energy = -109.4 eV per cell
formation energy (no corrections) = -2987 meV per atom
total moment = 5.0 μB/f.u.

abc: 7.5258 7.5258 7.5258
angles: 120.33 117.15 92.22
Element x y z (fractional)
Rb1 0.3354 0.0854 0.2500
Rb2 0.6646 0.9146 0.7500
Pu1 0.0000 0.5000 0.5000
Pu2 0.5000 0.5000 0.0000
Zn1 0.0000 0.0000 0.5000
Zn2 0.0000 0.5000 0.0000
F1 0.0545 0.3457 0.1695
F2 0.0545 0.8849 0.7087
F3 0.0878 0.3378 0.7500
F4 0.3238 0.1151 0.6695
F5 0.3238 0.6543 0.2087
F6 0.3677 0.6177 0.7500
F7 0.6323 0.3823 0.2500
F8 0.6762 0.3457 0.7913
F9 0.6762 0.8849 0.3305
F10 0.9122 0.6622 0.2500
F11 0.9455 0.1151 0.2913
F12 0.9455 0.6543 0.8305



[5]
Rb2PuZn3F12 | PBE-GGA | optimized geometry

Output
symmetry = No. 166
calculated total energy = -91.9 eV per cell
formation energy (no corrections) = -2740 meV per atom
total moment = 4.0 μB/f.u.

abc: 7.8637 7.8637 7.8637
angles: 57.17 57.17 57.17
Element x y z (fractional)
Rb1 0.0934 0.0934 0.0934
Rb2 0.9066 0.9066 0.9066
Pu1 0.5000 0.5000 0.5000
Zn1 0.0000 0.5000 0.5000
Zn2 0.5000 0.0000 0.5000
Zn3 0.5000 0.5000 0.0000
F1 0.1601 0.5845 0.5845
F2 0.1883 0.1883 0.5868
F3 0.1883 0.5868 0.1883
F4 0.4132 0.8117 0.8117
F5 0.4155 0.4155 0.8399
F6 0.4155 0.8399 0.4155
F7 0.5845 0.1601 0.5845
F8 0.5845 0.5845 0.1601
F9 0.5868 0.1883 0.1883
F10 0.8117 0.4132 0.8117
F11 0.8117 0.8117 0.4132
F12 0.8399 0.4155 0.4155



[6]
Rb2PuZnF6 | PBE-GGA | optimized geometry

Output
symmetry = No. 59
calculated total energy = -111.9 eV per cell
formation energy (no corrections) = -2719 meV per atom
total moment = 5.7 μB/f.u.

abc: 6.4284 9.0870 6.4285
angles: 90.00 90.00 90.00
Element x y z (fractional)
Rb1 0.2500 0.0002 0.2495
Rb2 0.2500 0.4998 0.2495
Rb3 0.7500 0.9998 0.7505
Rb4 0.7500 0.5002 0.7505
Pu1 0.2500 0.2500 0.7497
Pu2 0.7500 0.7500 0.2503
Zn1 0.2500 0.7500 0.7501
Zn2 0.7500 0.2500 0.2499
F1 0.0093 0.7500 0.5091
F2 0.0091 0.7500 0.9911
F3 0.2500 0.5092 0.7503
F4 0.2500 0.9908 0.7503
F5 0.4907 0.7500 0.5091
F6 0.4909 0.7500 0.9911
F7 0.5091 0.2500 0.0089
F8 0.5093 0.2500 0.4909
F9 0.7500 0.0092 0.2497
F10 0.7500 0.4908 0.2497
F11 0.9909 0.2500 0.0089
F12 0.9907 0.2500 0.4909



[7]
PuRuF | PBE-GGA | optimized geometry

Output
symmetry = No. 166
calculated total energy = -59.6 eV per cell
formation energy (no corrections) = -1438 meV per atom
total moment = 5.4 μB/f.u.

abc: 8.3386 8.3386 8.3386
angles: 28.14 28.14 28.14
Element x y z (fractional)
Pu1 0.0908 0.0908 0.0908
Pu2 0.9092 0.9092 0.9092
Ru1 0.3437 0.3437 0.3437
Ru2 0.6563 0.6563 0.6563
F1 0.1978 0.1978 0.1978
F2 0.8022 0.8022 0.8022



[8]
Pu2SF | PBE-GGA | optimized geometry

Output
symmetry = No. 123
calculated total energy = -41.0 eV per cell
formation energy (no corrections) = -1596 meV per atom
total moment = 12.9 μB/f.u.
polymorph energy (0 for the lowest one) = 0.210 eV per atom

abc: 4.6705 4.6705 3.5465
angles: 90.00 90.00 90.00
Element x y z (fractional)
Pu1 0.0000 0.5000 0.0000
Pu2 0.5000 0.0000 0.0000
S1 0.0000 0.0000 0.5000
F1 0.5000 0.5000 0.5000



[9]
PuSF3 | PBE-GGA | optimized geometry

Output
symmetry = No. 31
calculated total energy = -73.5 eV per cell
formation energy (no corrections) = -2534 meV per atom
total moment = 3.0 μB/f.u.

abc: 6.7604 5.7958 5.3280
angles: 90.00 90.00 90.00
Element x y z (fractional)
Pu1 0.0000 0.0040 0.0000
Pu2 0.5000 0.9960 0.5000
S1 0.0000 0.6555 0.2388
S2 0.5000 0.3445 0.7388
F1 0.0000 0.2907 0.7895
F2 0.2488 0.1247 0.2553
F3 0.2512 0.8753 0.7553
F4 0.5000 0.7093 0.2895
F5 0.7488 0.8753 0.7553
F6 0.7512 0.1247 0.2553



[10]
Pu2SF | PBE-GGA | optimized geometry

Output
symmetry = No. 225
calculated total energy = -164.1 eV per cell
formation energy (no corrections) = -1594 meV per atom
total moment = 13.0 μB/f.u.
polymorph energy (0 for the lowest one) = 0.212 eV per atom

abc: 6.7662 6.7662 6.7662
angles: 90.00 90.00 90.00
Element x y z (fractional)
Pu1 0.2500 0.2500 0.2500
Pu2 0.2500 0.2500 0.7500
Pu3 0.2500 0.7500 0.2500
Pu4 0.2500 0.7500 0.7500
Pu5 0.7500 0.2500 0.2500
Pu6 0.7500 0.2500 0.7500
Pu7 0.7500 0.7500 0.2500
Pu8 0.7500 0.7500 0.7500
S1 0.0000 0.0000 0.0000
S2 0.0000 0.5000 0.5000
S3 0.5000 0.0000 0.5000
S4 0.5000 0.5000 0.0000
F1 0.0000 0.0000 0.5000
F2 0.0000 0.5000 0.0000
F3 0.5000 0.0000 0.0000
F4 0.5000 0.5000 0.5000



[11]
Pu2S2F | PBE-GGA | optimized geometry

Output
symmetry = No. 36
calculated total energy = -98.9 eV per cell
formation energy (no corrections) = -2131 meV per atom
total moment = 0.1 μB/f.u.

abc: 8.0919 8.0919 6.9014
angles: 90.00 90.00 152.10
Element x y z (fractional)
Pu1 0.0583 0.9417 0.5000
Pu2 0.3182 0.6818 0.4514
Pu3 0.6818 0.3182 0.9514
Pu4 0.9417 0.0583 0.0000
S1 0.3012 0.6988 0.0444
S2 0.4618 0.5382 0.7037
S3 0.5382 0.4618 0.2037
S4 0.6988 0.3012 0.5444
F1 0.1016 0.8984 0.8609
F2 0.8984 0.1016 0.3609



[12]
Pu3SF7 | PBE-GGA | optimized geometry

Output
symmetry = No. 65
calculated total energy = -95.7 eV per cell
formation energy (no corrections) = -3223 meV per atom
total moment = 15.0 μB/f.u.

abc: 7.7351 7.7351 4.5534
angles: 90.00 90.00 124.60
Element x y z (fractional)
Pu1 0.0000 0.0000 0.0000
Pu2 0.3110 0.6890 0.0000
Pu3 0.6890 0.3110 0.0000
S1 0.5000 0.5000 0.0000
F1 0.0000 0.0000 0.5000
F2 0.0209 0.3314 0.0000
F3 0.2940 0.7060 0.5000
F4 0.3314 0.0209 0.0000
F5 0.6686 0.9791 0.0000
F6 0.7060 0.2940 0.5000
F7 0.9791 0.6686 0.0000